Record 1
VASP calculation (PBE-GGA) on crystalline CsCd2InSb at its relaxed geometry.

Results
- formation energy (no corrections) (meV/atom) = -205

abc: 7.311 7.311 7.311
angles: 140.13 137.90 59.37
Atoms (fractional coordinates):
Cs1 0.000 0.000 0.000
Cd1 0.620 0.620 0.000
Cd2 0.749 0.249 0.500
In1 0.241 0.741 0.500
Sb1 0.384 0.384 0.000


Record 2
VASP calculation (PBE-GGA) on crystalline LiAc2In3Au4 at its relaxed geometry.

Results
- formation energy from the elements (eV per atom) = -0.575

abc: 4.787 4.787 10.990
angles: 90.00 90.00 90.00
Atoms (fractional coordinates):
Li1 0.000 0.000 0.000
Ac1 0.000 0.500 0.740
Ac2 0.500 0.000 0.260
In1 0.000 0.500 0.369
In2 0.500 0.000 0.631
In3 0.500 0.500 0.000
Au1 0.000 0.000 0.500
Au2 0.000 0.500 0.123
Au3 0.500 0.000 0.877
Au4 0.500 0.500 0.500


Record 3
VASP calculation (PBE-GGA) on crystalline Cs2Pm2Br7 at its relaxed geometry.

Results
- offset from the most stable computed form (eV per atom) = 0.000
- formation energy (no corrections) (meV/atom) = -1723

abc: 7.339 7.339 8.251
angles: 90.00 90.00 98.19
Atoms (fractional coordinates):
Cs1 0.225 0.225 0.000
Cs2 0.775 0.775 0.000
Pm1 0.280 0.720 0.500
Pm2 0.720 0.280 0.500
Br1 0.000 0.000 0.500
Br2 0.000 0.500 0.279
Br3 0.000 0.500 0.721
Br4 0.500 0.000 0.279
Br5 0.500 0.000 0.721
Br6 0.500 0.500 0.289
Br7 0.500 0.500 0.711


Record 4
VASP calculation (PBE-GGA) on crystalline LiErGa2Cu4 at its relaxed geometry.

Results
- formation energy from the elements (eV per atom) = -0.260

abc: 8.155 8.155 8.155
angles: 30.01 30.01 30.01
Atoms (fractional coordinates):
Li1 0.000 0.000 0.000
Er1 0.500 0.500 0.500
Ga1 0.257 0.257 0.257
Ga2 0.743 0.743 0.743
Cu1 0.101 0.101 0.101
Cu2 0.371 0.371 0.371
Cu3 0.629 0.629 0.629
Cu4 0.899 0.899 0.899


Record 5
VASP calculation (PBE-GGA) on crystalline PmZrAgIr at its relaxed geometry.

Results
- formation energy from the elements (eV per atom) = -0.342

abc: 4.931 4.931 4.931
angles: 60.00 60.00 60.00
Atoms (fractional coordinates):
Pm1 0.000 0.000 0.000
Zr1 0.500 0.500 0.500
Ag1 0.750 0.750 0.750
Ir1 0.250 0.250 0.250


Record 6
VASP calculation (PBE-GGA) on crystalline RuAuN2F at its relaxed geometry.

Results
- offset from the most stable computed form (eV per atom) = 0.000
- formation energy (no corrections) (meV/atom) = 678

abc: 3.846 3.846 4.281
angles: 90.00 90.00 90.00
Atoms (fractional coordinates):
Ru1 0.000 0.000 0.000
Au1 0.500 0.500 0.500
N1 0.000 0.500 0.000
N2 0.500 0.000 0.000
F1 0.000 0.000 0.500


Record 7
VASP calculation (PBE-GGA) on crystalline RbLiHfW2 at its relaxed geometry.

Results
- formation energy from the elements (eV per atom) = 2.150

abc: 4.646 4.646 4.656
angles: 90.00 90.00 90.00
Atoms (fractional coordinates):
Rb1 0.000 0.000 0.000
Li1 0.000 0.000 0.500
Hf1 0.500 0.500 0.000
W1 0.000 0.500 0.500
W2 0.500 0.000 0.500


Record 8
VASP calculation (PBE-GGA) on crystalline AcLuNiAg at its relaxed geometry.

Results
- formation energy from the elements (eV per atom) = -0.185

abc: 5.171 5.171 5.171
angles: 60.00 60.00 60.00
Atoms (fractional coordinates):
Ac1 0.000 0.000 0.000
Lu1 0.500 0.500 0.500
Ni1 0.750 0.750 0.750
Ag1 0.250 0.250 0.250